Record 1
Here is Tb3Pm3PuS8 after structural relaxation from Alexandria via LeMat-Bulk. Energies are from PBE-GGA.

The space group is R-3m (No. 166, hexagonal axes) and the conventional cell measures 7.9332, 7.9332 and 19.5582 Å, with angles of 90.00, 90.00 and 120.00 degrees. Symmetry generates all atoms from Tb at (0.0000, 0.5000, 0.0000), Pm at (0.0000, 0.5000, 0.5000), Pu at (0.0000, 0.0000, 0.0000), S at (0.0000, 0.0000, 0.2531) and S at (0.0040, 0.5020, 0.2522).

=====

Record 2
Here is Tb2Pm3PuS6 after structural relaxation from Alexandria via LeMat-Bulk. Energies are from PBE-GGA.

The space group is C2/m (No. 12) and the conventional cell measures 17.3845, 3.9630 and 8.0068 Å, with angles of 90.00, 103.48 and 90.00 degrees. Symmetry generates all atoms from Tb at (0.1645, 0.0000, 0.3291), Pm at (0.0000, 0.5000, 0.5000), Pm at (0.1656, 0.0000, 0.8351), Pu at (0.0000, 0.5000, 0.0000), S at (0.0018, 0.0000, 0.2461), S at (0.1658, 0.5000, 0.0894) and S at (0.1697, 0.5000, 0.5777).

=====

Record 3
Here is Tb3Pm4PuS8 after structural relaxation from Alexandria via LeMat-Bulk. Energies are from PBE-GGA.

The space group is R-3m (No. 166, hexagonal axes) and the conventional cell measures 7.9559, 7.9559 and 19.5709 Å, with angles of 90.00, 90.00 and 120.00 degrees. Symmetry generates all atoms from Tb at (0.0000, 0.5000, 0.0000), Pm at (0.0000, 0.0000, 0.5000), Pm at (0.0000, 0.5000, 0.5000), Pu at (0.0000, 0.0000, 0.0000), S at (0.0000, 0.0000, 0.2533) and S at (0.0008, 0.5004, 0.2530).

=====

Record 4
Here is Tb3Pm2PuS6 after structural relaxation from Alexandria via LeMat-Bulk. Energies are from PBE-GGA.

The space group is C2/m (No. 12) and the conventional cell measures 17.3102, 3.9458 and 7.9763 Å, with angles of 90.00, 103.57 and 90.00 degrees. Symmetry generates all atoms from Tb at (0.0000, 0.0000, 0.0000), Tb at (0.1667, 0.5000, 0.3357), Pm at (0.1651, 0.5000, 0.8309), Pu at (0.0000, 0.0000, 0.5000), S at (0.0026, 0.5000, 0.2495), S at (0.1650, 0.0000, 0.0892) and S at (0.1673, 0.0000, 0.5777).

=====

Record 5
Here is PmPuTeS after structural relaxation from Alexandria via LeMat-Bulk. Energies are from PBE-GGA.

The space group is R3m (No. 160, hexagonal axes) and the conventional cell measures 4.1523, 4.1523 and 21.3324 Å, with angles of 90.00, 90.00 and 120.00 degrees. Symmetry generates all atoms from Pm at (0.0000, 0.0000, 0.0000), Pu at (0.0000, 0.0000, 0.5250), Te at (0.0000, 0.0000, 0.7635) and S at (0.0000, 0.0000, 0.2602).

=====

Record 6
Here is Pm4Pu3ThS8 after structural relaxation from Alexandria via LeMat-Bulk. Energies are from PBE-GGA.

The space group is R-3m (No. 166, hexagonal axes) and the conventional cell measures 7.9996, 7.9996 and 19.6811 Å, with angles of 90.00, 90.00 and 120.00 degrees. Symmetry generates all atoms from Pm at (0.0000, 0.0000, 0.0000), Pm at (0.0000, 0.5000, 0.0000), Pu at (0.0000, 0.5000, 0.5000), Th at (0.0000, 0.0000, 0.5000), S at (0.0000, 0.0000, 0.2472) and S at (0.0040, 0.5020, 0.7516).

=====

Going through the records in order, we get ρ values of 6.6, 7.4, 7.2, 7.5, 8.6, 8.2 g/cm3.
Going through the records in order, we get total magnetic moment values of 0.415, 0.485, 0.353, 0.490, 1.443, 1.047 μB/atom.
Going through the records in order, we get formation energy without anion corrections values of -46.3, -46.2, -46.2, -46.1, -36.3, -44.3 kcal/mol of atoms.